VASP calculation (PBE with a Hubbard U) on crystalline VMoO2 at its relaxed geometry.

POSCAR file:
```
VMoO2
1.0
5.512 0.000 0.000
0.000 5.512 0.000
0.000 0.000 5.512
V Mo O
4 4 8
direct
0.000 0.000 0.000
0.000 0.500 0.500
0.500 0.000 0.500
0.500 0.500 0.000
0.000 0.000 0.500
0.000 0.500 0.000
0.500 0.000 0.000
0.500 0.500 0.500
0.250 0.250 0.250
0.250 0.250 0.750
0.250 0.750 0.250
0.250 0.750 0.750
0.750 0.250 0.250
0.750 0.250 0.750
0.750 0.750 0.250
0.750 0.750 0.750
```

Symmetry: No. 225
Excess energy over the best structure of this formula in the dataset: 3.585 eV/f.u.
Total magnetization: 3.0 μB per formula unit